PrDyGaNi (PBE-GGA, optimized geometry); final energy = -4.91 eV/atom; density of states at the Fermi level = 4.1 states/eV/f.u.; crystal system = cubic; total magnetization = 0.000 μB per atom
1.0
0.0000 3.5685 3.5685
3.5685 0.0000 3.5685
3.5685 3.5685 0.0000
Pr Dy Ga Ni
1 1 1 1
direct
0.0000 0.0000 0.0000
0.5000 0.5000 0.5000
0.7500 0.7500 0.7500
0.2500 0.2500 0.2500